Record 1
K2ScRu after structural relaxation, computed with GGA-PBEsol.

Distance to the lowest polymorph of the same formula: 132 meV per atom
E_form: 1.9 eV/f.u.
Energy: -17.1 eV per formula unit
Volume: 279.7 Å³ per cell

Unit cell a=8.6559 b=3.2483 c=10.1890 alpha=90.00 beta=102.51 gamma=90.00
With the nearest neighbours (Å) after each atom.
Positions (direct):
K1 0.0000 0.0000 0.0000  2 K 3.25, 2 Ru 3.38
K2 0.1499 0.0000 0.5909  2 K 3.25, 2 Ru 3.38
K3 0.5000 0.5000 0.0000  2 K 3.25, 2 Ru 3.38
K4 0.6499 0.5000 0.5909  2 K 3.25, 2 Ru 3.38
Sc1 0.3397 0.0000 0.2954  3 Ru 2.46-2.48
Sc2 0.8397 0.5000 0.2954  3 Ru 2.46-2.48
Ru1 0.1235 0.5000 0.2955  3 Sc 2.46-2.48
Ru2 0.6235 0.0000 0.2955  3 Sc 2.46-2.48



Record 2
TlSe2Br after structural relaxation, computed with GGA-PBEsol.

Distance to the lowest polymorph of the same formula: 166 meV per atom
Energy: -12.4 eV per formula unit
E_form (uncorrected): -43.7 meV/atom
Volume: 106.0 Å³ per cell

Unit cell a=4.0071 b=4.0071 c=6.6012 alpha=90.00 beta=90.00 gamma=90.00
With the nearest neighbours (Å) after each atom.
Positions (direct):
Tl1 0.0000 0.0000 0.0000  4 Br 2.83
Se1 0.0000 0.5000 0.5000  4 Se 2.83
Se2 0.5000 0.0000 0.5000  4 Se 2.83
Br1 0.5000 0.5000 0.0000  4 Tl 2.83



Record 3
CaLaOs after structural relaxation, computed with GGA-PBEsol.

E_form: 3.0 eV/f.u.
Energy: -16.7 eV per formula unit
Volume: 294.4 Å³ per cell

Unit cell a=6.6521 b=6.6521 c=6.6521 alpha=90.00 beta=90.00 gamma=90.00
With the nearest neighbours (Å) after each atom.
Positions (direct):
Ca1 0.0000 0.0000 0.0000  4 La 2.88, 4 Os 2.88
Ca2 0.0000 0.5000 0.5000  4 La 2.88, 4 Os 2.88
Ca3 0.5000 0.0000 0.5000  4 La 2.88, 4 Os 2.88
Ca4 0.5000 0.5000 0.0000  4 La 2.88, 4 Os 2.88
La1 0.2500 0.2500 0.7500  4 Ca 2.88
La2 0.2500 0.7500 0.2500  4 Ca 2.88
La3 0.7500 0.2500 0.2500  4 Ca 2.88
La4 0.7500 0.7500 0.7500  4 Ca 2.88
Os1 0.2500 0.2500 0.2500  4 Ca 2.88
Os2 0.2500 0.7500 0.7500  4 Ca 2.88
Os3 0.7500 0.2500 0.7500  4 Ca 2.88
Os4 0.7500 0.7500 0.2500  4 Ca 2.88



Record 4
BaCoNi2 after structural relaxation, computed with GGA-PBEsol.

E_form: 3.4 eV/f.u.
Energy: -18.8 eV per formula unit
Volume: 64.4 Å³ per cell

Unit cell a=4.0472 b=4.0472 c=3.9328 alpha=90.00 beta=90.00 gamma=90.00
With the nearest neighbours (Å) after each atom.
Positions (direct):
Ba1 0.0000 0.0000 0.0000  8 Ni 2.82, 4 Co 2.86
Co1 0.5000 0.5000 0.0000  8 Ni 2.82, 4 Ba 2.86
Ni1 0.0000 0.5000 0.5000  4 Ba 2.82, 4 Co 2.82, 4 Ni 2.86
Ni2 0.5000 0.0000 0.5000  4 Ba 2.82, 4 Co 2.82, 4 Ni 2.86



Record 5
LaRuPt2 after structural relaxation, computed with GGA-PBEsol.

E_form: -0.4 eV/f.u.
Energy: -29.8 eV per formula unit
Volume: 286.6 Å³ per cell

Unit cell a=6.5930 b=6.5930 c=6.5930 alpha=90.00 beta=90.00 gamma=90.00
With the nearest neighbours (Å) after each atom.
Positions (direct):
La1 0.0000 0.0000 0.0000  4 Ru 2.85, 4 Pt 2.85
La2 0.0000 0.5000 0.5000  4 Ru 2.85, 4 Pt 2.85
La3 0.5000 0.0000 0.5000  4 Ru 2.85, 4 Pt 2.85
La4 0.5000 0.5000 0.0000  4 Ru 2.85, 4 Pt 2.85
Ru1 0.2500 0.2500 0.7500  4 La 2.85, 4 Pt 2.85
Ru2 0.2500 0.7500 0.2500  4 La 2.85, 4 Pt 2.85
Ru3 0.7500 0.2500 0.2500  4 La 2.85, 4 Pt 2.85
Ru4 0.7500 0.7500 0.7500  4 La 2.85, 4 Pt 2.85
Pt1 0.0000 0.0000 0.5000  4 Ru 2.85, 4 Pt 2.85
Pt2 0.0000 0.5000 0.0000  4 Ru 2.85, 4 Pt 2.85
Pt3 0.2500 0.2500 0.2500  4 La 2.85, 4 Pt 2.85
Pt4 0.2500 0.7500 0.7500  4 La 2.85, 4 Pt 2.85
Pt5 0.5000 0.0000 0.0000  4 Ru 2.85, 4 Pt 2.85
Pt6 0.5000 0.5000 0.5000  4 Ru 2.85, 4 Pt 2.85
Pt7 0.7500 0.2500 0.7500  4 La 2.85, 4 Pt 2.85
Pt8 0.7500 0.7500 0.2500  4 La 2.85, 4 Pt 2.85



Record 6
CrAs2 after structural relaxation, computed with GGA-PBEsol.

E_form: 0.0 eV/f.u.
Energy: -20.5 eV per formula unit
Volume: 130.0 Å³ per cell

Unit cell a=6.8887 b=6.8887 c=3.1640 alpha=90.00 beta=90.00 gamma=120.00
With the nearest neighbours (Å) after each atom.
Positions (direct):
Cr1 0.0000 0.0000 0.0000  9 As 2.46-2.65
Cr2 0.3333 0.6667 0.5000  9 As 2.52-2.66
Cr3 0.6667 0.3333 0.5000  9 As 2.52-2.66
As1 0.0000 0.3843 0.0000  5 Cr 2.65-2.66, 6 As 2.83-2.84
As2 0.0000 0.7257 0.5000  4 Cr 2.46-2.52
As3 0.2743 0.2743 0.5000  4 Cr 2.46-2.52
As4 0.3843 0.0000 0.0000  5 Cr 2.65-2.66, 6 As 2.83-2.84
As5 0.6157 0.6157 0.0000  5 Cr 2.65-2.66, 6 As 2.83-2.84
As6 0.7257 0.0000 0.5000  4 Cr 2.46-2.52



Repeat the fifth record exactly.
LaRuPt2 after structural relaxation, computed with GGA-PBEsol.

E_form: -0.4 eV/f.u.
Energy: -29.8 eV per formula unit
Volume: 286.6 Å³ per cell

Unit cell a=6.5930 b=6.5930 c=6.5930 alpha=90.00 beta=90.00 gamma=90.00
With the nearest neighbours (Å) after each atom.
Positions (direct):
La1 0.0000 0.0000 0.0000  4 Ru 2.85, 4 Pt 2.85
La2 0.0000 0.5000 0.5000  4 Ru 2.85, 4 Pt 2.85
La3 0.5000 0.0000 0.5000  4 Ru 2.85, 4 Pt 2.85
La4 0.5000 0.5000 0.0000  4 Ru 2.85, 4 Pt 2.85
Ru1 0.2500 0.2500 0.7500  4 La 2.85, 4 Pt 2.85
Ru2 0.2500 0.7500 0.2500  4 La 2.85, 4 Pt 2.85
Ru3 0.7500 0.2500 0.2500  4 La 2.85, 4 Pt 2.85
Ru4 0.7500 0.7500 0.7500  4 La 2.85, 4 Pt 2.85
Pt1 0.0000 0.0000 0.5000  4 Ru 2.85, 4 Pt 2.85
Pt2 0.0000 0.5000 0.0000  4 Ru 2.85, 4 Pt 2.85
Pt3 0.2500 0.2500 0.2500  4 La 2.85, 4 Pt 2.85
Pt4 0.2500 0.7500 0.7500  4 La 2.85, 4 Pt 2.85
Pt5 0.5000 0.0000 0.0000  4 Ru 2.85, 4 Pt 2.85
Pt6 0.5000 0.5000 0.5000  4 Ru 2.85, 4 Pt 2.85
Pt7 0.7500 0.2500 0.7500  4 La 2.85, 4 Pt 2.85
Pt8 0.7500 0.7500 0.2500  4 La 2.85, 4 Pt 2.85



Please write out number 5 again, unchanged.
LaRuPt2 after structural relaxation, computed with GGA-PBEsol.

E_form: -0.4 eV/f.u.
Energy: -29.8 eV per formula unit
Volume: 286.6 Å³ per cell

Unit cell a=6.5930 b=6.5930 c=6.5930 alpha=90.00 beta=90.00 gamma=90.00
With the nearest neighbours (Å) after each atom.
Positions (direct):
La1 0.0000 0.0000 0.0000  4 Ru 2.85, 4 Pt 2.85
La2 0.0000 0.5000 0.5000  4 Ru 2.85, 4 Pt 2.85
La3 0.5000 0.0000 0.5000  4 Ru 2.85, 4 Pt 2.85
La4 0.5000 0.5000 0.0000  4 Ru 2.85, 4 Pt 2.85
Ru1 0.2500 0.2500 0.7500  4 La 2.85, 4 Pt 2.85
Ru2 0.2500 0.7500 0.2500  4 La 2.85, 4 Pt 2.85
Ru3 0.7500 0.2500 0.2500  4 La 2.85, 4 Pt 2.85
Ru4 0.7500 0.7500 0.7500  4 La 2.85, 4 Pt 2.85
Pt1 0.0000 0.0000 0.5000  4 Ru 2.85, 4 Pt 2.85
Pt2 0.0000 0.5000 0.0000  4 Ru 2.85, 4 Pt 2.85
Pt3 0.2500 0.2500 0.2500  4 La 2.85, 4 Pt 2.85
Pt4 0.2500 0.7500 0.7500  4 La 2.85, 4 Pt 2.85
Pt5 0.5000 0.0000 0.0000  4 Ru 2.85, 4 Pt 2.85
Pt6 0.5000 0.5000 0.5000  4 Ru 2.85, 4 Pt 2.85
Pt7 0.7500 0.2500 0.7500  4 La 2.85, 4 Pt 2.85
Pt8 0.7500 0.7500 0.2500  4 La 2.85, 4 Pt 2.85



What is the energy in the first record? -17.1 eV per formula unit



What is the volume in the fifth record? 286.6 Å³ per cell